Entry 1:
An optimized crystal structure of ReF5. Source: OQMD via LeMat-Bulk, functional PBE.

abc: 4.6035 4.6035 4.6035
angles: 100.85 100.85 128.57
Closest atoms and distances in Å follow each position.
Fractional coordinates of all 6 atoms:
Re  0.0000  0.0000  0.0000  6 F 1.87-2.00
F  0.1043  0.3005  0.4048  1 Re 1.87
F  0.3005  0.8957  0.1963  1 Re 1.87
F  0.5000  0.5000  0.0000  2 Re 2.00
F  0.6995  0.1043  0.8037  1 Re 1.87
F  0.8957  0.6995  0.5952  1 Re 1.87

Summary:
For the calculated total energy, the calculation gives -33.2 eV per cell. The space-group type is I4/m, No. 87.

Entry 2:
An optimized crystal structure of NdHoPt2. Source: OQMD via LeMat-Bulk, functional PBE.

abc: 4.5646 7.1880 5.6232
angles: 90.00 90.00 90.00
Closest atoms and distances in Å follow each position.
Fractional coordinates of all 8 atoms:
Nd  0.0000  0.0697  0.0000  7 Pt 2.94-3.20
Nd  0.5000  0.9303  0.5000  7 Pt 2.94-3.20
Ho  0.0000  0.5669  0.2189  7 Pt 2.87-3.02
Ho  0.5000  0.4331  0.7189  7 Pt 2.87-3.02
Pt  0.0000  0.2224  0.5156  4 Nd 2.94-3.10, 2 Pt 2.94, 3 Ho 2.97-2.99
Pt  0.0000  0.6896  0.7050  4 Ho 2.87-3.02, 2 Pt 2.94, 3 Nd 3.09-3.20
Pt  0.5000  0.3104  0.2050  4 Ho 2.87-3.02, 2 Pt 2.94, 3 Nd 3.09-3.20
Pt  0.5000  0.7776  0.0156  4 Nd 2.94-3.10, 2 Pt 2.94, 3 Ho 2.97-2.99

Summary:
The space-group type is Pmn2_1, No. 31. For the formation energy, the calculation gives -473 kJ/mol of formula units.

Entry 3:
An optimized crystal structure of KDyCoSe3. Source: OQMD via LeMat-Bulk, functional PBE.

abc: 9.0324 4.0231 9.6451
angles: 90.00 108.84 90.00
Closest atoms and distances in Å follow each position.
Fractional coordinates of all 12 atoms:
K  0.2090  0.2500  0.2367  7 Se 3.27-3.55
K  0.7910  0.7500  0.7633  7 Se 3.27-3.55
Dy  0.3253  0.7500  0.8579  6 Se 2.83-2.96
Dy  0.6747  0.2500  0.1421  6 Se 2.83-2.96
Co  0.0758  0.2500  0.5909  4 Se 2.32-2.42
Co  0.9242  0.7500  0.4091  4 Se 2.32-2.42
Se  0.1002  0.2500  0.8483  1 Co 2.42
Se  0.1907  0.7500  0.5342  3 Co 2.32-2.41
Se  0.4612  0.7500  0.1668  3 Dy 2.83-2.85
Se  0.5388  0.2500  0.8332  3 Dy 2.83-2.85
Se  0.8093  0.2500  0.4658  3 Co 2.32-2.41
Se  0.8998  0.7500  0.1517  1 Co 2.42

Summary:
For the calculated total energy, the calculation gives -60.6 eV per cell. The space-group type is P2_1/m, No. 11.

Entry 4:
An optimized crystal structure of TeIrNO. Source: OQMD via LeMat-Bulk, functional PBE.

abc: 6.1431 7.0934 4.9847
angles: 90.00 90.00 90.00
Closest atoms and distances in Å follow each position.
Fractional coordinates of all 16 atoms:
Te  0.0394  0.1745  0.0000  2 N 2.06-2.14
Te  0.4606  0.1745  0.5000  2 N 2.06-2.14
Te  0.5394  0.8255  0.0000  2 N 2.06-2.14
Te  0.9606  0.8255  0.5000  2 N 2.06-2.14
Ir  0.1542  0.6651  0.9919  3 O 2.07-2.20, 1 N 2.10
Ir  0.3458  0.6651  0.4919  3 O 2.07-2.20, 1 N 2.10
Ir  0.6542  0.3349  0.9919  3 O 2.07-2.20, 1 N 2.10
Ir  0.8458  0.3349  0.4919  3 O 2.07-2.20, 1 N 2.10
N  0.0421  0.1012  0.5833  2 Te 2.06-2.14, 1 Ir 2.10
N  0.4579  0.1012  0.0833  2 Te 2.06-2.14, 1 Ir 2.10
N  0.5421  0.8988  0.5833  2 Te 2.06-2.14, 1 Ir 2.10
N  0.9579  0.8988  0.0833  2 Te 2.06-2.14, 1 Ir 2.10
O  0.1287  0.4693  0.6855  3 Ir 2.07-2.20
O  0.3713  0.4693  0.1855  3 Ir 2.07-2.20
O  0.6287  0.5307  0.6855  3 Ir 2.07-2.20
O  0.8713  0.5307  0.1855  3 Ir 2.07-2.20

Summary:
For the calculated total energy, the calculation gives -95.4 eV per cell. The space-group type is Pca2_1, No. 29.

Entry 5:
An optimized crystal structure of FeGe2. Source: OQMD via LeMat-Bulk, functional PBE.

abc: 5.3082 5.3082 5.3082
angles: 60.00 60.00 60.00
Closest atoms and distances in Å follow each position.
Fractional coordinates of all 6 atoms:
Fe  0.1250  0.1250  0.1250  12 Ge 3.11, 4 Fe 3.25
Fe  0.8750  0.8750  0.8750  12 Ge 3.11, 4 Fe 3.25
Ge  0.0000  0.5000  0.5000  6 Ge 2.65
Ge  0.5000  0.0000  0.5000  6 Ge 2.65
Ge  0.5000  0.5000  0.0000  6 Ge 2.65
Ge  0.5000  0.5000  0.5000  6 Ge 2.65

Summary:
For the calculated total energy, the calculation gives -30.4 eV per cell. The space-group type is Fd-3m, No. 227.

Entry 6:
An optimized crystal structure of NdFeSb3. Source: OQMD via LeMat-Bulk, functional PBE.

abc: 12.7836 6.1781 12.1348
angles: 90.00 90.00 90.00
Closest atoms and distances in Å follow each position.
Fractional coordinates of all 40 atoms:
Nd  0.1959  0.2228  0.2500  9 Sb 3.23-3.36, 2 Fe 3.30
Nd  0.1959  0.2772  0.7500  9 Sb 3.23-3.36, 2 Fe 3.30
Nd  0.2012  0.7500  0.0000  9 Sb 3.23-3.46, 2 Fe 3.53
Nd  0.2012  0.7500  0.5000  9 Sb 3.23-3.46, 2 Fe 3.53
Nd  0.7988  0.2500  0.0000  9 Sb 3.23-3.46, 2 Fe 3.53
Nd  0.7988  0.2500  0.5000  9 Sb 3.23-3.46, 2 Fe 3.53
Nd  0.8041  0.7228  0.2500  9 Sb 3.23-3.36, 2 Fe 3.30
Nd  0.8041  0.7772  0.7500  9 Sb 3.23-3.36, 2 Fe 3.30
Fe  0.4005  0.0369  0.6384  6 Sb 2.59-2.69, 1 Fe 2.71
Fe  0.4005  0.0369  0.8616  6 Sb 2.59-2.69, 1 Fe 2.71
Fe  0.4005  0.4631  0.1384  6 Sb 2.59-2.69, 1 Fe 2.71
Fe  0.4005  0.4631  0.3616  6 Sb 2.59-2.69, 1 Fe 2.71
Fe  0.5995  0.5369  0.6384  6 Sb 2.59-2.69, 1 Fe 2.71
Fe  0.5995  0.5369  0.8616  6 Sb 2.59-2.69, 1 Fe 2.71
Fe  0.5995  0.9631  0.1384  6 Sb 2.59-2.69, 1 Fe 2.71
Fe  0.5995  0.9631  0.3616  6 Sb 2.59-2.69, 1 Fe 2.71
Sb  0.0027  0.0138  0.6238  4 Sb 3.01-3.09, 4 Nd 3.31-3.37
Sb  0.0027  0.0138  0.8762  4 Sb 3.01-3.09, 4 Nd 3.31-3.37
Sb  0.0027  0.4862  0.1238  4 Sb 3.01-3.09, 4 Nd 3.31-3.37
Sb  0.0027  0.4862  0.3762  4 Sb 3.01-3.09, 4 Nd 3.31-3.37
Sb  0.2838  0.2500  0.0000  2 Fe 2.60
Sb  0.2838  0.2500  0.5000  2 Fe 2.60
Sb  0.2867  0.7323  0.2500  2 Fe 2.59
Sb  0.2867  0.7677  0.7500  2 Fe 2.59
Sb  0.4429  0.1147  0.2500  4 Fe 2.59-2.60
Sb  0.4429  0.3853  0.7500  4 Fe 2.59-2.60
Sb  0.4719  0.7500  0.0000  4 Fe 2.61-2.69
Sb  0.4719  0.7500  0.5000  4 Fe 2.61-2.69
Sb  0.5281  0.2500  0.0000  4 Fe 2.61-2.69
Sb  0.5281  0.2500  0.5000  4 Fe 2.61-2.69
Sb  0.5571  0.6147  0.2500  4 Fe 2.59-2.60
Sb  0.5571  0.8853  0.7500  4 Fe 2.59-2.60
Sb  0.7133  0.2323  0.2500  2 Fe 2.59
Sb  0.7133  0.2677  0.7500  2 Fe 2.59
Sb  0.7162  0.7500  0.0000  2 Fe 2.60
Sb  0.7162  0.7500  0.5000  2 Fe 2.60
Sb  0.9973  0.5138  0.6238  4 Sb 3.01-3.09, 4 Nd 3.31-3.37
Sb  0.9973  0.5138  0.8762  4 Sb 3.01-3.09, 4 Nd 3.31-3.37
Sb  0.9973  0.9862  0.1238  4 Sb 3.01-3.09, 4 Nd 3.31-3.37
Sb  0.9973  0.9862  0.3762  4 Sb 3.01-3.09, 4 Nd 3.31-3.37

Summary:
For the calculated total energy, the calculation gives -223.2 eV per cell. The space-group type is Pbcm, No. 57.

Entry 7:
An optimized crystal structure of CdHg3Pt. Source: OQMD via LeMat-Bulk, functional PBE.

abc: 5.5035 5.5035 5.5035
angles: 109.54 109.54 109.54
Closest atoms and distances in Å follow each position.
Fractional coordinates of all 5 atoms:
Cd  0.0000  0.0000  0.0000  2 Pt 2.74
Hg  0.0000  0.5000  0.5000  2 Pt 2.75
Hg  0.5000  0.0000  0.5000  2 Pt 2.75
Hg  0.5000  0.5000  0.0000  2 Pt 2.75
Pt  0.5000  0.5000  0.5000  2 Cd 2.74, 6 Hg 2.75

Summary:
The space-group type is R-3m, No. 166. For the formation energy, the calculation gives -71 kJ/mol of formula units.

Entry 8:
An optimized crystal structure of SiHgB4. Source: OQMD via LeMat-Bulk, functional PBE.

abc: 2.9601 2.9601 9.1185
angles: 90.00 90.00 120.00
Closest atoms and distances in Å follow each position.
Fractional coordinates of all 6 atoms:
Si  0.0000  0.0000  0.0000  12 B 2.30
Hg  0.0000  0.0000  0.5000  6 Hg 2.96
B  0.3333  0.6667  0.1687  3 B 1.71
B  0.3333  0.6667  0.8313  3 B 1.71
B  0.6667  0.3333  0.1687  3 B 1.71
B  0.6667  0.3333  0.8313  3 B 1.71

Summary:
For the calculated total energy, the calculation gives -29.6 eV per cell. The space-group type is P6/mmm, No. 191.

Entry 9:
An optimized crystal structure of LuIr. Source: OQMD via LeMat-Bulk, functional PBE.

abc: 3.3447 3.3447 3.3447
angles: 90.00 90.00 90.00
Closest atoms and distances in Å follow each position.
Fractional coordinates of all 2 atoms:
Lu  0.0000  0.0000  0.0000  8 Ir 2.90
Ir  0.5000  0.5000  0.5000  8 Lu 2.90

Summary:
The space-group type is Pm-3m, No. 221. For the formation energy, the calculation gives -188 kJ/mol of formula units.

Entry 10:
An optimized crystal structure of LiPa. Source: OQMD via LeMat-Bulk, functional PBE.

abc: 3.9473 3.9473 3.9473
angles: 60.00 60.00 60.00
Closest atoms and distances in Å follow each position.
Fractional coordinates of all 2 atoms:
Li  0.0000  0.0000  0.0000  6 Pa 2.79
Pa  0.5000  0.5000  0.5000  6 Li 2.79

Summary:
For the calculated total energy, the calculation gives -8.8 eV per cell. The space-group type is Fm-3m, No. 225.

Entry 11:
An optimized crystal structure of Be2TlCd. Source: OQMD via LeMat-Bulk, functional PBE.

abc: 4.6758 4.6758 4.6758
angles: 60.00 60.00 60.00
Closest atoms and distances in Å follow each position.
Fractional coordinates of all 4 atoms:
Be  0.0000  0.0000  0.0000  4 Cd 2.86, 4 Be 2.86
Be  0.2500  0.2500  0.2500  4 Tl 2.86, 4 Be 2.86
Tl  0.5000  0.5000  0.5000  4 Be 2.86, 4 Cd 2.86
Cd  0.7500  0.7500  0.7500  4 Tl 2.86, 4 Be 2.86

Summary:
For the calculated total energy, the calculation gives -7.2 eV per cell. The space-group type is F-43m, No. 216.